No. 1
# NaSrMg2 | the Alexandria database | PBE | relaxed
# DFT formation energy (eV per atom): 0.259
# Calculated total energy (hartree per atom): -0.0473
# Excess energy over the best structure of this formula in the dataset (eV/atom): 0.2071
data_NaSrMg2
_chemical_formula_sum 'Na4 Sr4 Mg8'
_cell_length_a 4.870
_cell_length_b 4.870
_cell_length_c 23.944
_cell_angle_alpha 90.00
_cell_angle_beta 90.00
_cell_angle_gamma 90.00
_space_group_name_H-M_alt 'I -4 2 d'
_space_group_IT_number 122
_space_group_name_Hall 'I -4 2bw'
loop_
_atom_site_label
_atom_site_type_symbol
_atom_site_fract_x
_atom_site_fract_y
_atom_site_fract_z
_atom_site_occupancy
Na1 Na 0.000 0.000 0.000 1
Sr1 Sr 0.000 0.000 0.500 1
Mg1 Mg 0.210 0.250 0.125 1

No. 2
# Ta2AlPt | the Alexandria database | PBE | relaxed
# DFT formation energy (eV per atom): -0.486
# Calculated total energy (hartree per atom): -0.3255
data_Ta2AlPt
_chemical_formula_sum 'Ta4 Al2 Pt2'
_cell_length_a 4.046
_cell_length_b 4.059
_cell_length_c 8.053
_cell_angle_alpha 90.00
_cell_angle_beta 90.00
_cell_angle_gamma 90.00
_space_group_name_H-M_alt 'C m m 2'
_space_group_IT_number 35
loop_
_space_group_symop_operation_xyz
'x,y,z'
'-x,-y,z'
'-x,y,z'
'x,-y,z'
'x+1/2,y+1/2,z'
'-x+1/2,-y+1/2,z'
'-x+1/2,y+1/2,z'
'x+1/2,-y+1/2,z'
loop_
_atom_site_label
_atom_site_type_symbol
_atom_site_fract_x
_atom_site_fract_y
_atom_site_fract_z
_atom_site_occupancy
Ta1 Ta 0.000 0.000 0.000 1
Ta2 Ta 0.000 0.500 0.289 1
Al1 Al 0.000 0.000 0.535 1
Pt1 Pt 0.000 0.500 0.746 1

No. 3
# Dy5Mg2Sn4 | the Alexandria database | PBE | relaxed
# DFT formation energy (eV per atom): -0.311
# Calculated total energy (hartree per atom): -0.1525
data_Dy5Mg2Sn4
_chemical_formula_sum 'Dy10 Mg4 Sn8'
_cell_length_a 21.227
_cell_length_b 4.332
_cell_length_c 7.603
_cell_angle_alpha 90.00
_cell_angle_beta 110.90
_cell_angle_gamma 90.00
_space_group_name_H-M_alt 'C 1 2/m 1'
_space_group_IT_number 12
loop_
_space_group_symop_operation_xyz
'x,y,z'
'-x,-y,-z'
'-x,y,-z'
'x,-y,z'
'x+1/2,y+1/2,z'
'-x+1/2,-y+1/2,-z'
'-x+1/2,y+1/2,-z'
'x+1/2,-y+1/2,z'
loop_
_atom_site_label
_atom_site_type_symbol
_atom_site_fract_x
_atom_site_fract_y
_atom_site_fract_z
_atom_site_occupancy
Dy1 Dy 0.000 0.000 0.000 1
Dy2 Dy 0.160 0.500 0.924 1
Dy3 Dy 0.161 0.500 0.397 1
Mg1 Mg 0.074 0.000 0.575 1
Sn1 Sn 0.000 0.500 0.293 1
Sn2 Sn 0.214 0.000 0.714 1

> The lowest calculated total energy belongs to which entry?

Ta2AlPt

> Which value of calculated total energy does entry 2 give?

-0.3255 hartree per atom